Entry 1:
Material: Ca3ZrV
Method: DFT, PBE
State: optimized geometry

Unit cell a=5.5966 b=5.5966 c=5.5966 alpha=90.00 beta=90.00 gamma=90.00
Last column: nearest neighbours and their distance in Å.
Sites, in units of the cell vectors:
1 Ca 0.0000 0.0000 0.5000  2 V 2.80
2 Ca 0.0000 0.5000 0.0000  2 V 2.80
3 Ca 0.5000 0.0000 0.0000  2 V 2.80
4 Zr 0.5000 0.5000 0.5000  12 Ca 3.96
5 V 0.0000 0.0000 0.0000  6 Ca 2.80

Summary:
The energy above the lowest structure with this stoichiometry comes out at 0.00 eV per formula unit. Its symmetry is Pm-3m, No. 221. For the density of states at the Fermi level, the calculation gives 4.8 states/eV/f.u. The formation energy comes out at 1033 meV per atom.


Entry 2:
Material: AlH6Pd12
Method: DFT, PBE
State: optimized geometry

Unit cell a=6.5793 b=6.5793 c=6.5793 alpha=109.51 beta=109.51 gamma=109.51
Last column: nearest neighbours and their distance in Å.
Sites, in units of the cell vectors:
1 Al 0.0000 0.0000 0.0000  12 Pd 2.70-2.71
2 H 0.1476 0.3584 0.5518  3 Pd 1.85-1.94
3 H 0.3584 0.5518 0.1476  3 Pd 1.85-1.94
4 H 0.4482 0.8524 0.6416  3 Pd 1.85-1.94
5 H 0.5518 0.1476 0.3584  3 Pd 1.85-1.94
6 H 0.6416 0.4482 0.8524  3 Pd 1.85-1.94
7 H 0.8524 0.6416 0.4482  3 Pd 1.85-1.94
8 Pd 0.1230 0.3084 0.8196  2 H 1.85-1.94
9 Pd 0.1783 0.4866 0.3050  1 H 1.85
10 Pd 0.1804 0.8770 0.6916  2 H 1.85-1.94
11 Pd 0.3050 0.1783 0.4866  1 H 1.85
12 Pd 0.3084 0.8196 0.1230  2 H 1.85-1.94
13 Pd 0.4866 0.3050 0.1783  1 H 1.85
14 Pd 0.5134 0.6950 0.8217  1 H 1.85
15 Pd 0.6916 0.1804 0.8770  2 H 1.85-1.94
16 Pd 0.6950 0.8217 0.5134  1 H 1.85
17 Pd 0.8196 0.1230 0.3084  2 H 1.85-1.94
18 Pd 0.8217 0.5134 0.6950  1 H 1.85
19 Pd 0.8770 0.6916 0.1804  2 H 1.85-1.94

Summary:
The energy above the lowest structure with this stoichiometry comes out at 0.00 eV per formula unit. Its symmetry is R-3, No. 148. For the density of states at the Fermi level, the calculation gives 11.1 states/eV/f.u.


Entry 3:
Material: Zr6ZnCu
Method: DFT, PBE
State: optimized geometry

Unit cell a=5.4828 b=5.4828 c=5.4828 alpha=90.07 beta=90.07 gamma=90.07
Last column: nearest neighbours and their distance in Å.
Sites, in units of the cell vectors:
1 Zr 0.0010 0.4984 0.2513  2 Zr 2.73-2.76
2 Zr 0.2513 0.0010 0.4984  2 Zr 2.73-2.76
3 Zr 0.4984 0.2513 0.0010  2 Zr 2.73-2.76
4 Zr 0.5016 0.7487 0.9990  2 Zr 2.73-2.76
5 Zr 0.7487 0.9990 0.5016  2 Zr 2.73-2.76
6 Zr 0.9990 0.5016 0.7487  2 Zr 2.73-2.76
7 Zn 0.0000 0.0000 0.0000  12 Zr 3.06-3.08
8 Cu 0.5000 0.5000 0.5000  12 Zr 3.06-3.07

Summary:
Its symmetry is R-3, No. 148. For the density of states at the Fermi level, the calculation gives 11.1 states/eV/f.u. The formation energy comes out at -58 meV per atom.


Entry 4:
Material: ReW
Method: DFT, PBE
State: optimized geometry

Unit cell a=2.8040 b=4.7788 c=5.0199 alpha=90.00 beta=90.00 gamma=90.00
Last column: nearest neighbours and their distance in Å.
Sites, in units of the cell vectors:
1 Re 0.0000 0.0000 0.0000  6 W 2.51-2.77, 2 Re 2.80
2 Re 0.5000 0.5000 0.5000  6 W 2.51-2.77, 2 Re 2.80
3 W 0.0000 0.0000 0.5000  6 Re 2.51-2.77, 2 W 2.80
4 W 0.5000 0.5000 0.0000  6 Re 2.51-2.77, 2 W 2.80

Summary:
The energy above the lowest structure with this stoichiometry comes out at 1.86 eV per formula unit. Its symmetry is Immm, No. 71. For the density of states at the Fermi level, the calculation gives 2.0 states/eV/f.u. The formation energy comes out at 1022 meV per atom.


Respective E values: -3.702 -4.694 -7.141 -11.679 eV per atom.